Record 1
## Ca2Zn5Cu3 (PBE)

Data for an optimized crystal structure of Ca2Zn5Cu3.

Values from the calculation:
ΔE to the lowest computed polymorph	0.08	kcal/mol of atoms
DOS(E_F)	0.403	states/eV/atom

a = 5.7469 Å, b = 8.4645 Å, c = 8.4645 Å
α = 80.41°, β = 70.16°, γ = 70.16°
With the nearest neighbours (Å) after each atom.
Fractional coordinates of all 20 atoms:
Ca 0.6295 0.1318 0.6091  8 Zn 3.05-3.36, 4 Cu 3.12-3.25
Ca 0.1295 0.6091 0.1318  8 Zn 3.05-3.36, 4 Cu 3.12-3.25
Ca 0.8705 0.3909 0.8682  8 Zn 3.05-3.36, 4 Cu 3.12-3.25
Ca 0.3705 0.8682 0.3909  8 Zn 3.05-3.36, 4 Cu 3.12-3.25
Zn 0.7500 0.5000 0.5000  4 Cu 2.51
Zn 0.0148 0.2352 0.2352  3 Cu 2.54-2.72, 2 Zn 2.60
Zn 0.1110 0.0367 0.7412  3 Cu 2.46-2.51, 2 Zn 2.60
Zn 0.4852 0.7648 0.7648  3 Cu 2.54-2.72, 2 Zn 2.60
Zn 0.6110 0.7412 0.0367  3 Cu 2.46-2.51, 2 Zn 2.60
Zn 0.2500 0.5000 0.5000  4 Cu 2.51
Zn 0.9852 0.7648 0.7648  3 Cu 2.54-2.72, 2 Zn 2.60
Zn 0.3890 0.2588 0.9633  3 Cu 2.46-2.51, 2 Zn 2.60
Zn 0.5148 0.2352 0.2352  3 Cu 2.54-2.72, 2 Zn 2.60
Zn 0.8890 0.9633 0.2588  3 Cu 2.46-2.51, 2 Zn 2.60
Cu 0.7500 0.0000 0.0000  6 Zn 2.51-2.72
Cu 0.2500 0.0000 0.0000  6 Zn 2.51-2.72
Cu 0.6306 0.4972 0.2416  5 Zn 2.46-2.54
Cu 0.3694 0.5028 0.7584  5 Zn 2.46-2.54
Cu 0.8694 0.7584 0.5028  5 Zn 2.46-2.54
Cu 0.1306 0.2416 0.4972  5 Zn 2.46-2.54

---

Record 2
## Ca2ZnCu7 (PBE)

Data for an optimized crystal structure of Ca2ZnCu7.

Values from the calculation:
DOS(E_F)	0.344	states/eV/atom
total energy	-3.47	eV/atom

a = 3.9735 Å, b = 3.9735 Å, c = 10.6655 Å
α = 90.00°, β = 90.00°, γ = 90.00°
With the nearest neighbours (Å) after each atom.
Fractional coordinates of all 10 atoms:
Cu 0.5000 0.5000 0.5000  4 Cu 2.46
Cu 0.0000 0.5000 0.6355  5 Cu 2.39-2.46
Cu 0.5000 0.0000 0.3645  5 Cu 2.39-2.46
Cu 0.0000 0.0000 0.0000  4 Cu 2.49
Cu 0.5000 0.0000 0.1405  3 Cu 2.39-2.49, 2 Zn 2.49
Cu 0.0000 0.0000 0.5000  4 Cu 2.46
Cu 0.0000 0.5000 0.8595  3 Cu 2.39-2.49, 2 Zn 2.49
Zn 0.5000 0.5000 0.0000  4 Cu 2.49
Ca 0.0000 0.5000 0.2558  14 Cu 3.04-3.37, 2 Zn 3.37
Ca 0.5000 0.0000 0.7442  14 Cu 3.04-3.37, 2 Zn 3.37

---

Record 3
## CaZn11Cu (PBE)

Data for an optimized crystal structure of CaZn11Cu.

Values from the calculation:
DOS(E_F)	0.393	states/eV/atom
total energy	-1.68	eV/atom

a = 5.1776 Å, b = 6.8231 Å, c = 6.8238 Å
α = 81.76°, β = 67.70°, γ = 67.80°
With the nearest neighbours (Å) after each atom.
Fractional coordinates of all 13 atoms:
Zn 0.3619 0.6434 0.6505  8 Zn 2.63-2.91, 1 Cu 2.69
Zn 0.0124 0.6434 0.3495  8 Zn 2.63-2.91, 1 Cu 2.69
Zn 0.9876 0.3566 0.6505  8 Zn 2.63-2.91, 1 Cu 2.69
Zn 0.5000 0.0000 0.5000  10 Zn 2.59-2.79
Zn 0.6381 0.3566 0.3495  8 Zn 2.63-2.91, 1 Cu 2.69
Zn 0.0000 0.5000 0.0000  2 Cu 2.59, 8 Zn 2.59-2.74
Zn 0.2846 0.2224 0.2184  1 Cu 2.57, 8 Zn 2.59-2.86
Zn 0.5030 0.2224 0.7816  1 Cu 2.57, 8 Zn 2.59-2.86
Zn 0.0000 0.0000 0.5000  10 Zn 2.59-2.79
Zn 0.4970 0.7776 0.2184  1 Cu 2.57, 8 Zn 2.59-2.86
Zn 0.7154 0.7776 0.7816  1 Cu 2.57, 8 Zn 2.59-2.86
Cu 0.5000 0.5000 0.0000  10 Zn 2.57-2.69
Ca 0.0000 0.0000 0.0000  18 Zn 3.15-3.41, 2 Cu 3.42

---

Question: Which of these has the highest DOS(E_F)?
Answer: Ca2Zn5Cu3

---

Question: What is the formula in the first record?
Answer: Ca2Zn5Cu3

---

Question: Which formula does entry 2 have?
Answer: Ca2ZnCu7

---

What did the third record say?
## CaZn11Cu (PBE)

Data for an optimized crystal structure of CaZn11Cu.

Values from the calculation:
DOS(E_F)	0.393	states/eV/atom
total energy	-1.68	eV/atom

a = 5.1776 Å, b = 6.8231 Å, c = 6.8238 Å
α = 81.76°, β = 67.70°, γ = 67.80°
With the nearest neighbours (Å) after each atom.
Fractional coordinates of all 13 atoms:
Zn 0.3619 0.6434 0.6505  8 Zn 2.63-2.91, 1 Cu 2.69
Zn 0.0124 0.6434 0.3495  8 Zn 2.63-2.91, 1 Cu 2.69
Zn 0.9876 0.3566 0.6505  8 Zn 2.63-2.91, 1 Cu 2.69
Zn 0.5000 0.0000 0.5000  10 Zn 2.59-2.79
Zn 0.6381 0.3566 0.3495  8 Zn 2.63-2.91, 1 Cu 2.69
Zn 0.0000 0.5000 0.0000  2 Cu 2.59, 8 Zn 2.59-2.74
Zn 0.2846 0.2224 0.2184  1 Cu 2.57, 8 Zn 2.59-2.86
Zn 0.5030 0.2224 0.7816  1 Cu 2.57, 8 Zn 2.59-2.86
Zn 0.0000 0.0000 0.5000  10 Zn 2.59-2.79
Zn 0.4970 0.7776 0.2184  1 Cu 2.57, 8 Zn 2.59-2.86
Zn 0.7154 0.7776 0.7816  1 Cu 2.57, 8 Zn 2.59-2.86
Cu 0.5000 0.5000 0.0000  10 Zn 2.57-2.69
Ca 0.0000 0.0000 0.0000  18 Zn 3.15-3.41, 2 Cu 3.42